1.
# GGA-PBE PmTl3Bi2S6, optimized geometry
data_PmTl3Bi2S6
_chemical_formula_sum 'Pm2 Tl6 Bi4 S12'
_cell_length_a 7.193
_cell_length_b 12.458
_cell_length_c 7.834
_cell_angle_alpha 90.00
_cell_angle_beta 107.82
_cell_angle_gamma 90.00
_symmetry_space_group_name_H-M 'C 1 2/m 1'
_symmetry_Int_Tables_number 12
loop_
_symmetry_equiv_pos_as_xyz
'x,y,z'
'-x,-y,-z'
'-x,y,-z'
'x,-y,z'
'x+1/2,y+1/2,z'
'-x+1/2,-y+1/2,-z'
'-x+1/2,y+1/2,-z'
'x+1/2,-y+1/2,z'
loop_
_atom_site_label
_atom_site_type_symbol
_atom_site_fract_x
_atom_site_fract_y
_atom_site_fract_z
Pm1 Pm 0.000 0.000 0.000
Tl1 Tl 0.000 0.167 0.500
Tl2 Tl 0.000 0.500 0.500
Bi1 Bi 0.000 0.334 0.000
S1 S 0.235 0.166 0.208
S2 S 0.237 0.500 0.206
# Total DFT energy (no corrections) in eV per atom: -4.47

***

2.
# GGA-PBE Pm2Tl3BiS6, optimized geometry
data_Pm2Tl3BiS6
_chemical_formula_sum 'Pm4 Tl6 Bi2 S12'
_cell_length_a 7.189
_cell_length_b 12.455
_cell_length_c 7.855
_cell_angle_alpha 90.00
_cell_angle_beta 107.76
_cell_angle_gamma 90.00
_symmetry_space_group_name_H-M 'C 1 2/m 1'
_symmetry_Int_Tables_number 12
loop_
_symmetry_equiv_pos_as_xyz
'x,y,z'
'-x,-y,-z'
'-x,y,-z'
'x,-y,z'
'x+1/2,y+1/2,z'
'-x+1/2,-y+1/2,-z'
'-x+1/2,y+1/2,-z'
'x+1/2,-y+1/2,z'
loop_
_atom_site_label
_atom_site_type_symbol
_atom_site_fract_x
_atom_site_fract_y
_atom_site_fract_z
Pm1 Pm 0.000 0.167 0.000
Tl1 Tl 0.000 0.000 0.500
Tl2 Tl 0.000 0.333 0.500
Bi1 Bi 0.000 0.500 0.000
S1 S 0.233 0.000 0.206
S2 S 0.236 0.332 0.205
# Total DFT energy (no corrections) in eV per atom: -4.89

***

3.
# GGA-PBE PmYBiS, optimized geometry
data_PmYBiS
_chemical_formula_sum 'Pm6 Y6 Bi6 S6'
_cell_length_a 5.0952
_cell_length_b 5.0952
_cell_length_c 32.4553
_cell_angle_alpha 90.00
_cell_angle_beta 90.00
_cell_angle_gamma 120.00
_symmetry_space_group_name_H-M 'R -3 m'
_symmetry_Int_Tables_number 166
_symmetry_space_group_name_Hall '-R 3 2"'
loop_
_atom_site_label
_atom_site_type_symbol
_atom_site_fract_x
_atom_site_fract_y
_atom_site_fract_z
Pm1 Pm 0.0000 0.0000 0.1224
Y1 Y 0.0000 0.0000 0.2936
Bi1 Bi 0.0000 0.0000 0.3937
S1 S 0.0000 0.0000 0.2064
# Total DFT energy (no corrections) in eV per atom: -6.00

***

4.
# GGA-PBE PmYBiS2, optimized geometry
data_PmYBiS2
_chemical_formula_sum 'Pm2 Y2 Bi2 S4'
_cell_length_a 4.543
_cell_length_b 4.543
_cell_length_c 14.051
_cell_angle_alpha 90.00
_cell_angle_beta 90.00
_cell_angle_gamma 90.00
_symmetry_space_group_name_H-M 'I 4 m m'
_symmetry_Int_Tables_number 107
_symmetry_space_group_name_Hall 'I 4 -2'
loop_
_atom_site_label
_atom_site_type_symbol
_atom_site_fract_x
_atom_site_fract_y
_atom_site_fract_z
Pm1 Pm 0.000 0.000 0.000
Y1 Y 0.000 0.000 0.292
Bi1 Bi 0.000 0.000 0.645
S1 S 0.000 0.500 0.391
# Total DFT energy (no corrections) in eV per atom: -5.97

***

5.
# GGA-PBE Pm3Bi3Sb, optimized geometry
data_Pm3Bi3Sb
_chemical_formula_sum 'Pm12 Bi12 Sb4'
_cell_length_a 9.006
_cell_length_b 12.399
_cell_length_c 8.694
_cell_angle_alpha 90.00
_cell_angle_beta 94.88
_cell_angle_gamma 90.00
_symmetry_space_group_name_H-M 'C 1 2/m 1'
_symmetry_Int_Tables_number 12
loop_
_symmetry_equiv_pos_as_xyz
'x,y,z'
'-x,-y,-z'
'-x,y,-z'
'x,-y,z'
'x+1/2,y+1/2,z'
'-x+1/2,-y+1/2,-z'
'-x+1/2,y+1/2,-z'
'x+1/2,-y+1/2,z'
loop_
_atom_site_label
_atom_site_type_symbol
_atom_site_fract_x
_atom_site_fract_y
_atom_site_fract_z
Pm1 Pm 0.061 0.000 0.237
Pm2 Pm 0.176 0.336 0.307
Bi1 Bi 0.000 0.169 0.500
Bi2 Bi 0.000 0.221 0.000
Bi3 Bi 0.099 0.500 0.655
Sb1 Sb 0.245 0.500 0.044
# Total DFT energy (no corrections) in eV per atom: -4.89

***

6.
# GGA-PBE Pm6BiSb5, optimized geometry
data_Pm6BiSb5
_chemical_formula_sum 'Pm12 Bi2 Sb10'
_cell_length_a 7.806
_cell_length_b 13.520
_cell_length_c 7.806
_cell_angle_alpha 90.00
_cell_angle_beta 109.49
_cell_angle_gamma 90.00
_symmetry_space_group_name_H-M 'C 1 2/m 1'
_symmetry_Int_Tables_number 12
loop_
_symmetry_equiv_pos_as_xyz
'x,y,z'
'-x,-y,-z'
'-x,y,-z'
'x,-y,z'
'x+1/2,y+1/2,z'
'-x+1/2,-y+1/2,-z'
'-x+1/2,y+1/2,-z'
'x+1/2,-y+1/2,z'
loop_
_atom_site_label
_atom_site_type_symbol
_atom_site_fract_x
_atom_site_fract_y
_atom_site_fract_z
Pm1 Pm 0.247 0.000 0.251
Pm2 Pm 0.247 0.168 0.748
Bi1 Bi 0.000 0.500 0.000
Sb1 Sb 0.000 0.000 0.500
Sb2 Sb 0.000 0.167 0.000
Sb3 Sb 0.000 0.335 0.500
# Total DFT energy (no corrections) in eV per atom: -5.56

***

7.
# GGA-PBE Pm7Bi2Sb2, optimized geometry
data_Pm7Bi2Sb2
_chemical_formula_sum 'Pm14 Bi4 Sb4'
_cell_length_a 9.671
_cell_length_b 11.421
_cell_length_c 6.977
_cell_angle_alpha 90.00
_cell_angle_beta 90.00
_cell_angle_gamma 90.00
_symmetry_space_group_name_H-M 'C m m m'
_symmetry_Int_Tables_number 65
_symmetry_space_group_name_Hall '-C 2 2'
loop_
_atom_site_label
_atom_site_type_symbol
_atom_site_fract_x
_atom_site_fract_y
_atom_site_fract_z
Pm1 Pm 0.000 0.000 0.000
Pm2 Pm 0.000 0.500 0.256
Pm3 Pm 0.250 0.250 0.267
Bi1 Bi 0.195 0.000 0.500
Sb1 Sb 0.000 0.274 0.000
# Total DFT energy (no corrections) in eV per atom: -4.98

***

8.
# GGA-PBE PmBiSb2, optimized geometry
data_PmBiSb2
_chemical_formula_sum 'Pm1 Bi1 Sb2'
_cell_length_a 4.203
_cell_length_b 4.203
_cell_length_c 6.601
_cell_angle_alpha 90.00
_cell_angle_beta 90.00
_cell_angle_gamma 90.00
_symmetry_space_group_name_H-M 'P 4/m m m'
_symmetry_Int_Tables_number 123
_symmetry_space_group_name_Hall '-P 4 2'
loop_
_atom_site_label
_atom_site_type_symbol
_atom_site_fract_x
_atom_site_fract_y
_atom_site_fract_z
Pm1 Pm 0.000 0.000 0.000
Bi1 Bi 0.000 0.000 0.500
Sb1 Sb 0.500 0.500 0.235
# Energy relative to the lowest polymorph listed for this composition in meV per atom: 35.9

***

9.
# GGA-PBE Pm2BiSb, optimized geometry
data_Pm2BiSb
_chemical_formula_sum 'Pm4 Bi2 Sb2'
_cell_length_a 7.850
_cell_length_b 4.537
_cell_length_c 7.857
_cell_angle_alpha 90.00
_cell_angle_beta 109.53
_cell_angle_gamma 90.00
_symmetry_space_group_name_H-M 'C 1 2/m 1'
_symmetry_Int_Tables_number 12
loop_
_symmetry_equiv_pos_as_xyz
'x,y,z'
'-x,-y,-z'
'-x,y,-z'
'x,-y,z'
'x+1/2,y+1/2,z'
'-x+1/2,-y+1/2,-z'
'-x+1/2,y+1/2,-z'
'x+1/2,-y+1/2,z'
loop_
_atom_site_label
_atom_site_type_symbol
_atom_site_fract_x
_atom_site_fract_y
_atom_site_fract_z
Pm1 Pm 0.248 0.000 0.244
Bi1 Bi 0.000 0.000 0.500
Sb1 Sb 0.000 0.500 0.000
# Energy relative to the lowest polymorph listed for this composition in meV per atom: 0.0

***

10.
# GGA-PBE Pm6Bi5Sb, optimized geometry
data_Pm6Bi5Sb
_chemical_formula_sum 'Pm12 Bi10 Sb2'
_cell_length_a 7.907
_cell_length_b 13.694
_cell_length_c 7.904
_cell_angle_alpha 90.00
_cell_angle_beta 109.46
_cell_angle_gamma 90.00
_symmetry_space_group_name_H-M 'C 1 2/m 1'
_symmetry_Int_Tables_number 12
loop_
_symmetry_equiv_pos_as_xyz
'x,y,z'
'-x,-y,-z'
'-x,y,-z'
'x,-y,z'
'x+1/2,y+1/2,z'
'-x+1/2,-y+1/2,-z'
'-x+1/2,y+1/2,-z'
'x+1/2,-y+1/2,z'
loop_
_atom_site_label
_atom_site_type_symbol
_atom_site_fract_x
_atom_site_fract_y
_atom_site_fract_z
Pm1 Pm 0.246 0.000 0.251
Pm2 Pm 0.247 0.165 0.748
Bi1 Bi 0.000 0.168 0.000
Bi2 Bi 0.000 0.334 0.500
Bi3 Bi 0.000 0.500 0.000
Sb1 Sb 0.000 0.000 0.500
# Total DFT energy (no corrections) in eV per atom: -5.32

***

11.
# GGA-PBE Pm2BiSb, optimized geometry
data_Pm2BiSb
_chemical_formula_sum 'Pm2 Bi1 Sb1'
_cell_length_a 3.844
_cell_length_b 3.844
_cell_length_c 8.148
_cell_angle_alpha 90.00
_cell_angle_beta 90.00
_cell_angle_gamma 90.00
_symmetry_space_group_name_H-M 'P 4/m m m'
_symmetry_Int_Tables_number 123
_symmetry_space_group_name_Hall '-P 4 2'
loop_
_atom_site_label
_atom_site_type_symbol
_atom_site_fract_x
_atom_site_fract_y
_atom_site_fract_z
Pm1 Pm 0.000 0.000 0.231
Bi1 Bi 0.500 0.500 0.500
Sb1 Sb 0.500 0.500 0.000
# Energy relative to the lowest polymorph listed for this composition in meV per atom: 276.0

***

12.
# GGA-PBE Pm4Bi2Sb, optimized geometry
data_Pm4Bi2Sb
_chemical_formula_sum 'Pm16 Bi8 Sb4'
_cell_length_a 4.465
_cell_length_b 14.779
_cell_length_c 14.701
_cell_angle_alpha 90.00
_cell_angle_beta 90.00
_cell_angle_gamma 90.00
_symmetry_space_group_name_H-M 'C m c m'
_symmetry_Int_Tables_number 63
_symmetry_space_group_name_Hall '-C 2c 2'
loop_
_atom_site_label
_atom_site_type_symbol
_atom_site_fract_x
_atom_site_fract_y
_atom_site_fract_z
Pm1 Pm 0.000 0.000 0.000
Pm2 Pm 0.000 0.278 0.129
Pm3 Pm 0.000 0.460 0.750
Bi1 Bi 0.000 0.360 0.565
Sb1 Sb 0.000 0.107 0.750
# Energy relative to the lowest polymorph listed for this composition in meV per atom: 144.8

***

13.
# GGA-PBE PmBiSb2, optimized geometry
data_PmBiSb2
_chemical_formula_sum 'Pm3 Bi3 Sb6'
_cell_length_a 4.5036
_cell_length_b 4.5036
_cell_length_c 22.3589
_cell_angle_alpha 90.00
_cell_angle_beta 90.00
_cell_angle_gamma 120.00
_symmetry_space_group_name_H-M 'R -3 m'
_symmetry_Int_Tables_number 166
_symmetry_space_group_name_Hall '-R 3 2"'
loop_
_atom_site_label
_atom_site_type_symbol
_atom_site_fract_x
_atom_site_fract_y
_atom_site_fract_z
Pm1 Pm 0.0000 0.0000 0.0000
Bi1 Bi 0.0000 0.0000 0.5000
Sb1 Sb 0.0000 0.0000 0.2499
# Energy relative to the lowest polymorph listed for this composition in meV per atom: 13.6

***

14.
# GGA-PBE Pm3BiSb2, optimized geometry
data_Pm3BiSb2
_chemical_formula_sum 'Pm6 Bi2 Sb4'
_cell_length_a 4.521
_cell_length_b 6.388
_cell_length_c 13.568
_cell_angle_alpha 90.00
_cell_angle_beta 90.00
_cell_angle_gamma 90.00
_symmetry_space_group_name_H-M 'I m m m'
_symmetry_Int_Tables_number 71
_symmetry_space_group_name_Hall '-I 2 2'
loop_
_atom_site_label
_atom_site_type_symbol
_atom_site_fract_x
_atom_site_fract_y
_atom_site_fract_z
Pm1 Pm 0.000 0.000 0.000
Pm2 Pm 0.000 0.000 0.330
Bi1 Bi 0.000 0.500 0.000
Sb1 Sb 0.000 0.500 0.334
# Total DFT energy (no corrections) in eV per atom: -5.50

***

15.
# GGA-PBE Pm5Bi4Sb, optimized geometry
data_Pm5Bi4Sb
_chemical_formula_sum 'Pm10 Bi8 Sb2'
_cell_length_a 4.562
_cell_length_b 4.562
_cell_length_c 32.235
_cell_angle_alpha 90.00
_cell_angle_beta 90.00
_cell_angle_gamma 90.00
_symmetry_space_group_name_H-M 'I 4/m m m'
_symmetry_Int_Tables_number 139
_symmetry_space_group_name_Hall '-I 4 2'
loop_
_atom_site_label
_atom_site_type_symbol
_atom_site_fract_x
_atom_site_fract_y
_atom_site_fract_z
Pm1 Pm 0.000 0.000 0.000
Pm2 Pm 0.000 0.000 0.200
Pm3 Pm 0.000 0.000 0.402
Bi1 Bi 0.000 0.000 0.100
Bi2 Bi 0.000 0.000 0.301
Sb1 Sb 0.000 0.000 0.500
# Total DFT energy (no corrections) in eV per atom: -5.33

***

16.
# GGA-PBE Pm2BiSb, optimized geometry
data_Pm2BiSb
_chemical_formula_sum 'Pm2 Bi1 Sb1'
_cell_length_a 4.7374
_cell_length_b 4.7374
_cell_length_c 8.0446
_cell_angle_alpha 90.00
_cell_angle_beta 90.00
_cell_angle_gamma 120.00
_symmetry_space_group_name_H-M 'P 3 m 1'
_symmetry_Int_Tables_number 156
loop_
_symmetry_equiv_pos_as_xyz
'x,y,z'
'-y,x-y,z'
'-x+y,-x,z'
'-y,-x,z'
'-x+y,y,z'
'x,x-y,z'
loop_
_atom_site_label
_atom_site_type_symbol
_atom_site_fract_x
_atom_site_fract_y
_atom_site_fract_z
Pm1 Pm 0.0000 0.0000 0.0000
Pm2 Pm 0.3333 0.6667 0.4493
Bi1 Bi 0.6667 0.3333 0.2536
Sb1 Sb 0.3333 0.6667 0.8202
# Energy relative to the lowest polymorph listed for this composition in meV per atom: 372.8

***

17.
# GGA-PBE Pm8BiSb5, optimized geometry
data_Pm8BiSb5
_chemical_formula_sum 'Pm16 Bi2 Sb10'
_cell_length_a 9.479
_cell_length_b 9.479
_cell_length_c 9.463
_cell_angle_alpha 90.00
_cell_angle_beta 90.00
_cell_angle_gamma 90.00
_symmetry_space_group_name_H-M 'I -4'
_symmetry_Int_Tables_number 82
loop_
_symmetry_equiv_pos_as_xyz
'x,y,z'
'y,-x,-z'
'-x,-y,z'
'-y,x,-z'
'x+1/2,y+1/2,z+1/2'
'y+1/2,-x+1/2,-z+1/2'
'-x+1/2,-y+1/2,z+1/2'
'-y+1/2,x+1/2,-z+1/2'
loop_
_atom_site_label
_atom_site_type_symbol
_atom_site_fract_x
_atom_site_fract_y
_atom_site_fract_z
Pm1 Pm 0.071 0.175 0.195
Pm2 Pm 0.072 0.319 0.557
Bi1 Bi 0.000 0.500 0.250
Sb1 Sb 0.000 0.000 0.500
Sb2 Sb 0.126 0.251 0.877
# Total DFT energy (no corrections) in eV per atom: -5.48

***

18.
# GGA-PBE Pm2BiSb, optimized geometry
data_Pm2BiSb
_chemical_formula_sum 'Pm6 Bi3 Sb3'
_cell_length_a 4.4890
_cell_length_b 4.4890
_cell_length_c 23.2192
_cell_angle_alpha 90.00
_cell_angle_beta 90.00
_cell_angle_gamma 120.00
_symmetry_space_group_name_H-M 'R 3 m'
_symmetry_Int_Tables_number 160
_symmetry_space_group_name_Hall 'R 3 -2"'
loop_
_atom_site_label
_atom_site_type_symbol
_atom_site_fract_x
_atom_site_fract_y
_atom_site_fract_z
Pm1 Pm 0.0000 0.0000 0.0000
Pm2 Pm 0.0000 0.0000 0.1676
Bi1 Bi 0.0000 0.0000 0.5850
Sb1 Sb 0.0000 0.0000 0.4159
# Energy relative to the lowest polymorph listed for this composition in meV per atom: 123.4

***

19.
# GGA-PBE Pm5Bi2Sb2, optimized geometry
data_Pm5Bi2Sb2
_chemical_formula_sum 'Pm20 Bi8 Sb8'
_cell_length_a 15.973
_cell_length_b 8.375
_cell_length_c 8.435
_cell_angle_alpha 90.00
_cell_angle_beta 90.00
_cell_angle_gamma 90.00
_symmetry_space_group_name_H-M 'C m c e'
_symmetry_Int_Tables_number 64
_symmetry_space_group_name_Hall '-C 2ac 2'
loop_
_atom_site_label
_atom_site_type_symbol
_atom_site_fract_x
_atom_site_fract_y
_atom_site_fract_z
Pm1 Pm 0.000 0.000 0.000
Pm2 Pm 0.133 0.161 0.339
Bi1 Bi 0.202 0.000 0.000
Sb1 Sb 0.000 0.141 0.641
# Total DFT energy (no corrections) in eV per atom: -5.38

***

20.
# GGA-PBE PmBiSb2, optimized geometry
data_PmBiSb2
_chemical_formula_sum 'Pm1 Bi1 Sb2'
_cell_length_a 5.251
_cell_length_b 5.251
_cell_length_c 4.214
_cell_angle_alpha 90.00
_cell_angle_beta 90.00
_cell_angle_gamma 90.00
_symmetry_space_group_name_H-M 'P 4/m m m'
_symmetry_Int_Tables_number 123
_symmetry_space_group_name_Hall '-P 4 2'
loop_
_atom_site_label
_atom_site_type_symbol
_atom_site_fract_x
_atom_site_fract_y
_atom_site_fract_z
Pm1 Pm 0.000 0.000 0.000
Bi1 Bi 0.500 0.500 0.000
Sb1 Sb 0.000 0.500 0.500
# Energy relative to the lowest polymorph listed for this composition in meV per atom: 0.0

***

Calculated values (Mg/m³) of mass density for the records, taken in order: 6.80; 6.47; 6.48; 5.81; 8.13; 7.22; 7.23; 8.51; 7.82; 8.38; 8.56; 7.67; 7.58; 7.52; 8.33; 6.59; 7.73; 7.63; 8.16; 8.54.